Entry 1:
Compound: Bi3IN
Source: the Alexandria database
Functional: meta-GGA SCAN
Structure: single point on PBEsol structure

Its uncorrected energy is -3.9943 Ry per atom. Its raw formation energy is 2009.7 meV per atom. Its magnetization is 2.4 Bohr magnetons per cell. As for the theoretical density: 6.1 g cm⁻³.

Lattice parameters (Å, degrees): 5.950 5.950 5.950 90.00 90.00 90.00
Site moments in Bohr magnetons follow the coordinates.
Fractional positions:
I1 0.000 0.000 0.000  -0.03
Bi1 0.000 0.500 0.000  -0.05
Bi2 0.000 0.000 0.500  -0.05
Bi3 0.500 0.000 0.000  -0.05
N1 0.500 0.500 0.500  1.86



Entry 2:
Compound: TiS2O8
Source: the Alexandria database
Functional: meta-GGA SCAN
Structure: single point on PBEsol structure

Its uncorrected energy is -0.7122 Ry per atom. Its raw formation energy is -1950.7 meV per atom. Its magnetization is 0.0 Bohr magnetons per cell. As for the energy above the most stable polymorph in this dataset: 0.0 meV/atom. As for the theoretical density: 2.9 g cm⁻³.

Lattice parameters (Å, degrees): 9.044 9.187 13.257 90.00 90.00 90.00
Fractional positions:
Ti1 0.116 0.143 0.128
Ti2 0.384 0.143 0.628
Ti3 0.616 0.357 0.128
Ti4 0.884 0.357 0.628
Ti5 0.116 0.643 0.372
Ti6 0.384 0.643 0.872
Ti7 0.616 0.857 0.372
Ti8 0.884 0.857 0.872
S1 0.056 0.070 0.713
S2 0.444 0.070 0.213
S3 0.679 0.160 0.482
S4 0.821 0.160 0.982
S5 0.179 0.340 0.482
S6 0.321 0.340 0.982
S7 0.944 0.430 0.213
S8 0.556 0.430 0.713
S9 0.444 0.570 0.287
S10 0.056 0.570 0.787
S11 0.679 0.660 0.018
S12 0.821 0.660 0.518
S13 0.179 0.840 0.018
S14 0.321 0.840 0.518
S15 0.556 0.930 0.787
S16 0.944 0.930 0.287
O1 0.701 0.999 0.467
O2 0.799 0.999 0.967
O3 0.988 0.017 0.370
O4 0.512 0.017 0.870
O5 0.488 0.008 0.314
O6 0.012 0.008 0.814
O7 0.220 0.095 0.719
O8 0.280 0.095 0.219
O9 0.729 0.198 0.074
O10 0.771 0.198 0.574
O11 0.978 0.179 0.018
O12 0.522 0.179 0.518
O13 0.987 0.220 0.713
O14 0.513 0.220 0.213
O15 0.713 0.244 0.396
O16 0.787 0.244 0.896
O17 0.213 0.256 0.396
O18 0.287 0.256 0.896
O19 0.013 0.280 0.213
O20 0.487 0.280 0.713
O21 0.022 0.321 0.518
O22 0.478 0.321 0.018
O23 0.229 0.302 0.074
O24 0.271 0.302 0.574
O25 0.780 0.405 0.219
O26 0.720 0.405 0.719
O27 0.512 0.492 0.814
O28 0.988 0.492 0.314
O29 0.488 0.483 0.370
O30 0.012 0.483 0.870
O31 0.201 0.501 0.467
O32 0.299 0.501 0.967
O33 0.701 0.499 0.033
O34 0.799 0.499 0.533
O35 0.512 0.517 0.630
O36 0.988 0.517 0.130
O37 0.488 0.508 0.186
O38 0.012 0.508 0.686
O39 0.280 0.595 0.281
O40 0.220 0.595 0.781
O41 0.729 0.698 0.426
O42 0.771 0.698 0.926
O43 0.522 0.679 0.982
O44 0.978 0.679 0.482
O45 0.513 0.720 0.287
O46 0.987 0.720 0.787
O47 0.713 0.744 0.104
O48 0.787 0.744 0.604
O49 0.213 0.756 0.104
O50 0.287 0.756 0.604
O51 0.487 0.780 0.787
O52 0.013 0.780 0.287
O53 0.478 0.821 0.482
O54 0.022 0.821 0.982
O55 0.229 0.802 0.426
O56 0.271 0.802 0.926
O57 0.720 0.905 0.781
O58 0.780 0.905 0.281
O59 0.512 0.992 0.686
O60 0.988 0.992 0.186
O61 0.012 0.983 0.630
O62 0.488 0.983 0.130
O63 0.201 0.001 0.033
O64 0.299 0.001 0.533



Entry 3:
Compound: AlAs2Pb
Source: the Alexandria database
Functional: meta-GGA SCAN
Structure: single point on PBEsol structure

For the energy of formation, the calculation gives -11.9 kJ/mol of atoms. Its uncorrected energy is -2.2860 Ry per atom. Its magnetization is 0.0 Bohr magnetons per cell. As for the energy above the most stable polymorph in this dataset: 29.4 meV/atom. As for the theoretical density: 6.0 g cm⁻³.

Lattice parameters (Å, degrees): 4.065 4.211 6.255 90.00 97.98 90.00
Fractional positions:
Pb1 0.527 0.000 0.478
As1 0.080 0.000 0.794
As2 0.718 0.500 0.227
Al1 0.175 0.500 0.000



Entry 4:
Compound: YFeRh2
Source: the Alexandria database
Functional: meta-GGA SCAN
Structure: single point on PBEsol structure

For the energy of formation, the calculation gives -19.2 kJ/mol of atoms. Its uncorrected energy is -2.1004 Ry per atom. Its magnetization is 3.8 Bohr magnetons per cell. As for the theoretical density: 9.1 g cm⁻³.

Lattice parameters (Å, degrees): 2.987 3.643 5.911 90.00 90.00 90.00
Site moments in Bohr magnetons follow the coordinates.
Fractional positions:
Fe1 0.500 0.500 0.813  3.17
Rh1 0.000 0.000 0.970  0.59
Rh2 0.500 0.500 0.231  0.14
Y1 0.000 0.000 0.486  -0.11



Entry 5:
Compound: CsFeBr4
Source: the Alexandria database
Functional: meta-GGA SCAN
Structure: single point on PBEsol structure

Its uncorrected energy is -1.7265 Ry per atom. Its raw formation energy is -1194.0 meV per atom. Its magnetization is 20.0 Bohr magnetons per cell. As for the theoretical density: 3.8 g cm⁻³.

Lattice parameters (Å, degrees): 7.303 9.938 12.134 90.00 90.00 90.00
Site moments in Bohr magnetons follow the coordinates.
Fractional positions:
Cs1 0.250 0.652 0.184  0.01
Cs2 0.750 0.348 0.816  0.01
Cs3 0.750 0.152 0.316  0.01
Cs4 0.250 0.848 0.684  0.01
Fe1 0.250 0.206 0.057  3.85
Fe2 0.750 0.794 0.943  3.85
Fe3 0.750 0.706 0.443  3.85
Fe4 0.250 0.294 0.557  3.85
Br1 0.250 0.359 0.374  0.19
Br2 0.750 0.641 0.626  0.19
Br3 0.750 0.859 0.126  0.19
Br4 0.250 0.141 0.874  0.19
Br5 0.250 0.027 0.180  0.19
Br6 0.750 0.973 0.820  0.19
Br7 0.750 0.527 0.320  0.19
Br8 0.250 0.473 0.680  0.19
Br9 0.993 0.340 0.089  0.17
Br10 0.007 0.660 0.911  0.17
Br11 0.007 0.840 0.411  0.17
Br12 0.493 0.660 0.911  0.17
Br13 0.993 0.160 0.589  0.17
Br14 0.507 0.340 0.089  0.17
Br15 0.507 0.160 0.589  0.17
Br16 0.493 0.840 0.411  0.17



Entry 6:
Compound: InTc2Se
Source: the Alexandria database
Functional: meta-GGA SCAN
Structure: single point on PBEsol structure

Its uncorrected energy is -2.2443 Ry per atom. Its raw formation energy is 360.3 meV per atom. Its magnetization is 0.0 Bohr magnetons per cell. As for the energy above the most stable polymorph in this dataset: 0.0 meV/atom. As for the theoretical density: 9.9 g cm⁻³.

Lattice parameters (Å, degrees): 3.086 4.234 5.628 112.10 105.91 90.00
Fractional positions:
In1 0.523 0.523 0.046
Se1 0.280 0.780 0.560
Tc1 0.973 0.973 0.947
Tc2 0.723 0.223 0.446